Version w
Entry from Alexandria via LeMat-Bulk: a relaxed structure of TaVCd (GGA-PBE).

Values from the calculation:
* symmetry: C2/m

Cell: 5.444 5.444 6.518 Å, 106.28 106.28 35.18°
Atoms (fractional coordinates):
1 Ta 0.153 0.153 0.072
2 Ta 0.847 0.847 0.928
3 V 0.499 0.499 0.785
4 V 0.501 0.501 0.215
5 Cd 0.157 0.157 0.577
6 Cd 0.843 0.843 0.423

***

Version x
Entry from Alexandria via LeMat-Bulk: a relaxed structure of TaVCd (GGA-PBE).

Values from the calculation:
* symmetry: Pm

Cell: 4.734 3.119 7.497 Å, 90.00 108.06 90.00°
Atoms (fractional coordinates):
1 Ta 0.000 0.000 0.000
2 Ta 0.367 0.000 0.735
3 V 0.510 0.500 0.019
4 V 0.639 0.000 0.272
5 Cd 0.183 0.500 0.359
6 Cd 0.812 0.500 0.623

***

Version y
Entry from Alexandria via LeMat-Bulk: a relaxed structure of TaVCd (GGA-PBE).

Values from the calculation:
* symmetry: Cmmm

Cell: 7.332 7.332 3.391 Å, 90.00 90.00 144.97°
Atoms (fractional coordinates):
1 Ta 0.176 0.824 0.000
2 Ta 0.824 0.176 0.000
3 V 0.325 0.675 0.500
4 V 0.675 0.325 0.500
5 Cd 0.000 0.000 0.500
6 Cd 0.500 0.500 0.000

***

Which of them is most stable? Easy: version y.

***

Version w
Entry from Alexandria via LeMat-Bulk: a relaxed structure of TaV3Cd (GGA-PBE).

Values from the calculation:
* symmetry: Pm-3m

Cell: 4.763 4.763 4.763 Å, 90.00 90.00 90.00°
Atoms (fractional coordinates):
1 Ta 0.000 0.000 0.000
2 V 0.000 0.500 0.500
3 V 0.500 0.000 0.500
4 V 0.500 0.500 0.000
5 Cd 0.500 0.500 0.500

***

Version x
Entry from Alexandria via LeMat-Bulk: a relaxed structure of TaV3Cd (GGA-PBE).

Values from the calculation:
* symmetry: Pm-3m

Cell: 4.654 4.654 4.654 Å, 90.00 90.00 90.00°
Atoms (fractional coordinates):
1 Ta 0.000 0.000 0.000
2 V 0.000 0.000 0.500
3 V 0.000 0.500 0.000
4 V 0.500 0.000 0.000
5 Cd 0.500 0.500 0.500

***

Which of them is most stable? Easy: version x.

***

Version w
Entry from Alexandria via LeMat-Bulk: a relaxed structure of TaCd2W (GGA-PBE).

Values from the calculation:
* symmetry: Cm

Cell: 5.119 5.119 5.474 Å, 94.84 94.84 31.53°
Atoms (fractional coordinates):
1 Ta 0.000 0.000 0.000
2 Cd 0.503 0.503 0.513
3 Cd 0.751 0.751 0.284
4 W 0.252 0.252 0.796

***

Version x
Entry from Alexandria via LeMat-Bulk: a relaxed structure of TaCd2W (GGA-PBE).

Values from the calculation:
* symmetry: P4mm

Cell: 3.403 3.403 6.743 Å, 90.00 90.00 90.00°
Atoms (fractional coordinates):
1 Ta 0.000 0.000 0.000
2 Cd 0.000 0.000 0.453
3 Cd 0.500 0.500 0.712
4 W 0.500 0.500 0.172

***

Which of them is most stable? Easy: version x.

***

Version w
Entry from Alexandria via LeMat-Bulk: a relaxed structure of TaCd2W (GGA-PBE).

Values from the calculation:
* symmetry: Cmm2

Cell: 2.868 2.868 9.660 Å, 90.00 90.00 107.74°
Atoms (fractional coordinates):
1 Ta 0.000 0.000 0.000
2 Cd 0.000 0.000 0.528
3 Cd 0.500 0.500 0.257
4 W 0.500 0.500 0.778

***

Version x
Entry from Alexandria via LeMat-Bulk: a relaxed structure of TaCd2W (GGA-PBE).

Values from the calculation:
* symmetry: Pm

Cell: 2.852 4.595 5.759 Å, 90.00 97.33 90.00°
Atoms (fractional coordinates):
1 Ta 0.000 0.000 0.000
2 Cd 0.394 0.000 0.481
3 Cd 0.401 0.500 0.749
4 W 0.782 0.500 0.234

***

Version y
Entry from Alexandria via LeMat-Bulk: a relaxed structure of TaCd2W (GGA-PBE).

Values from the calculation:
* symmetry: I4/mmm

Cell: 5.429 5.429 5.429 Å, 137.05 137.05 62.36°
Atoms (fractional coordinates):
1 Ta 0.000 0.000 0.000
2 Cd 0.250 0.750 0.500
3 Cd 0.750 0.250 0.500
4 W 0.500 0.500 0.000

***

Version z
Entry from Alexandria via LeMat-Bulk: a relaxed structure of TaCd2W (GGA-PBE).

Values from the calculation:
* symmetry: R-3m

Cell: 10.232 10.232 10.232 Å, 16.41 16.41 16.41°
Atoms (fractional coordinates):
1 Ta 0.000 0.000 0.000
2 Cd 0.248 0.248 0.248
3 Cd 0.752 0.752 0.752
4 W 0.500 0.500 0.500

***

Which of them is most stable? Easy: version w.

***

Version w
Entry from Alexandria via LeMat-Bulk: a relaxed structure of TaCdW3 (GGA-PBE).

Values from the calculation:
* symmetry: Pm-3m

Cell: 4.775 4.775 4.775 Å, 90.00 90.00 90.00°
Atoms (fractional coordinates):
1 Ta 0.000 0.000 0.000
2 Cd 0.500 0.500 0.500
3 W 0.000 0.500 0.500
4 W 0.500 0.000 0.500
5 W 0.500 0.500 0.000

***

Version x
Entry from Alexandria via LeMat-Bulk: a relaxed structure of TaCdW3 (GGA-PBE).

Values from the calculation:
* symmetry: Pm-3m

Cell: 4.814 4.814 4.814 Å, 90.00 90.00 90.00°
Atoms (fractional coordinates):
1 Ta 0.000 0.000 0.000
2 Cd 0.500 0.500 0.500
3 W 0.000 0.000 0.500
4 W 0.000 0.500 0.000
5 W 0.500 0.000 0.000

***

Which of them is most stable? Easy: version x.

***

Version w
Entry from Alexandria via LeMat-Bulk: a relaxed structure of TaCdW (GGA-PBE).

Values from the calculation:
* symmetry: F-43m

Cell: 4.529 4.529 4.529 Å, 60.00 60.00 60.00°
Atoms (fractional coordinates):
1 Ta 0.000 0.000 0.000
2 Cd 0.500 0.500 0.500
3 W 0.250 0.250 0.250

***

Version x
Entry from Alexandria via LeMat-Bulk: a relaxed structure of TaCdW (GGA-PBE).

Values from the calculation:
* symmetry: I4mm

Cell: 7.355 7.355 7.355 Å, 158.33 158.33 30.83°
Atoms (fractional coordinates):
1 Ta 0.000 0.000 0.000
2 Cd 0.670 0.670 0.000
3 W 0.335 0.335 0.000

***

Version y
Entry from Alexandria via LeMat-Bulk: a relaxed structure of TaCdW (GGA-PBE).

Values from the calculation:
* symmetry: Fmm2

Cell: 7.566 7.419 2.799 Å, 82.22 76.28 21.50°
Atoms (fractional coordinates):
1 Ta 0.000 0.000 0.000
2 Cd 0.675 0.675 0.325
3 W 0.344 0.344 0.656

***

Version z
Entry from Alexandria via LeMat-Bulk: a relaxed structure of TaCdW (GGA-PBE).

Values from the calculation:
* symmetry: P3m1

Cell: 4.766 4.766 2.745 Å, 90.00 90.00 120.00°
Atoms (fractional coordinates):
1 Ta 0.000 0.000 0.000
2 Cd 0.333 0.667 0.635
3 W 0.667 0.333 0.307

***

Which of them is most stable? Easy: version y.